The following is a DFT calculation (GGA-PBE) of a relaxed LaDy6Y5 crystal.

Calculated values
ΔE_f = 23.2 meV/atom

Lattice parameters (Å, degrees): 6.1850 6.1850 11.8487 94.97 94.97 119.97
With the nearest neighbours (Å) after each atom.
Atoms (fractional coordinates):
La1 0.0000 0.0000 0.0000  6 Y 3.57, 6 Dy 3.59-3.60
Dy1 0.0850 0.4188 0.2523  5 Y 3.55-3.60, 6 Dy 3.57-3.58, 1 La 3.60
Dy2 0.2492 0.2492 0.7477  5 Y 3.55-3.60, 6 Dy 3.57-3.58, 1 La 3.59
Dy3 0.4188 0.0850 0.2523  5 Y 3.55-3.60, 6 Dy 3.57-3.58, 1 La 3.60
Dy4 0.5812 0.9150 0.7477  5 Y 3.55-3.60, 6 Dy 3.57-3.58, 1 La 3.60
Dy5 0.7508 0.7508 0.2523  5 Y 3.55-3.60, 6 Dy 3.57-3.58, 1 La 3.59
Dy6 0.9150 0.5812 0.7477  5 Y 3.55-3.60, 6 Dy 3.57-3.58, 1 La 3.60
Y1 0.1671 0.8329 0.5000  6 Dy 3.55, 6 Y 3.57-3.58
Y2 0.3334 0.6666 0.0000  3 Y 3.57, 3 La 3.57, 6 Dy 3.59-3.60
Y3 0.5000 0.5000 0.5000  6 Dy 3.55, 6 Y 3.57
Y4 0.6666 0.3334 0.0000  3 Y 3.57, 3 La 3.57, 6 Dy 3.59-3.60
Y5 0.8329 0.1671 0.5000  6 Dy 3.55, 6 Y 3.57-3.58